# 1
This record from Alexandria describes crystalline Mg2In3Hg6 at its relaxed geometry. The functional is GGA-PBE.

polymorph energy (0 for the lowest one) = 0.00 eV/f.u.
ΔE_f = -38 meV per atom
V = 284.65 Å³/cell
N(E_F) = 3.5 states/eV/f.u.
E = -13.6 eV per cell
total magnetic moment = 0.000 μB per atom

```
Mg2In3Hg6
1.0
7.5985 -2.0958 0.0000
7.5985 2.0958 0.0000
-4.4698 0.0000 8.9375
Mg In Hg
2 3 6
direct
0.1756 0.1756 0.3695
0.8244 0.8244 0.6305
0.0000 0.0000 0.0000
0.3080 0.3080 0.1340
0.6920 0.6920 0.8660
0.0351 0.0351 0.7097
0.3369 0.3369 0.8415
0.3880 0.3880 0.4813
0.6120 0.6120 0.5187
0.6631 0.6631 0.1585
0.9649 0.9649 0.2903
```

# 2
This record from Alexandria describes crystalline SrMg2Tc2 at its relaxed geometry. The functional is GGA-PBE.

polymorph energy (0 for the lowest one) = 0.13 eV/f.u.
ΔE_f = 403 meV per atom
V = 205.01 Å³/cell
N(E_F) = 4.5 states/eV/f.u.
E = -47.2 eV per cell
total magnetic moment = 0.000 μB per atom

```
SrMg2Tc2
1.0
8.3830 0.0000 0.0000
0.0000 8.3830 0.0000
0.0000 0.0000 2.9172
Sr Mg Tc
2 4 4
direct
0.0000 0.0000 0.0000
0.5000 0.5000 0.0000
0.1846 0.3154 0.0000
0.3154 0.8154 0.0000
0.6846 0.1846 0.0000
0.8154 0.6846 0.0000
0.0975 0.5975 0.5000
0.4025 0.0975 0.5000
0.5975 0.9025 0.5000
0.9025 0.4025 0.5000
```

The highest polymorph energy (0 for the lowest one) belongs to which entry?
SrMg2Tc2